CoAs2PbBr: relaxed, PBE-GGA.

Geometry as CIF:
```
data_CoAs2PbBr
_chemical_formula_sum 'Co1 As2 Pb1 Br1'
_symmetry_space_group_name_H-M 'P 1'
_symmetry_Int_Tables_number 1
_cell_length_a 4.5553
_cell_length_b 4.5553
_cell_length_c 5.5946
_cell_angle_alpha 90.00
_cell_angle_beta 90.00
_cell_angle_gamma 90.00
loop_
_symmetry_equiv_pos_as_xyz
'x,y,z'
loop_
_atom_site_label
_atom_site_type_symbol
_atom_site_fract_x
_atom_site_fract_y
_atom_site_fract_z
Pb1 Pb 0.5000 0.5000 0.5000
As1 As 0.0000 0.5000 0.0000
As2 As 0.5000 0.0000 0.0000
Co1 Co 0.0000 0.0000 0.0000
Br1 Br 0.0000 0.0000 0.5000
```

=====

CoAs2PbBr: relaxed, PBE-GGA.

Geometry as CIF:
```
data_CoAs2PbBr
_chemical_formula_sum 'Co1 As2 Pb1 Br1'
_symmetry_space_group_name_H-M 'P 1'
_symmetry_Int_Tables_number 1
_cell_length_a 5.4607
_cell_length_b 5.4607
_cell_length_c 5.6635
_cell_angle_alpha 90.00
_cell_angle_beta 90.00
_cell_angle_gamma 90.00
loop_
_symmetry_equiv_pos_as_xyz
'x,y,z'
loop_
_atom_site_label
_atom_site_type_symbol
_atom_site_fract_x
_atom_site_fract_y
_atom_site_fract_z
Pb1 Pb 0.0000 0.0000 0.0000
As1 As 0.0000 0.5000 0.0000
As2 As 0.5000 0.0000 0.0000
Co1 Co 0.5000 0.5000 0.5000
Br1 Br 0.0000 0.0000 0.5000
```

=====

CoAsPdBr2: relaxed, PBE-GGA.

Geometry as CIF:
```
data_CoAsPdBr2
_chemical_formula_sum 'Co1 As1 Pd1 Br2'
_symmetry_space_group_name_H-M 'P 1'
_symmetry_Int_Tables_number 1
_cell_length_a 5.1467
_cell_length_b 5.1467
_cell_length_c 4.8953
_cell_angle_alpha 90.00
_cell_angle_beta 90.00
_cell_angle_gamma 90.00
loop_
_symmetry_equiv_pos_as_xyz
'x,y,z'
loop_
_atom_site_label
_atom_site_type_symbol
_atom_site_fract_x
_atom_site_fract_y
_atom_site_fract_z
As1 As 0.0000 0.0000 0.5000
Co1 Co 0.5000 0.5000 0.5000
Br1 Br 0.0000 0.5000 0.0000
Br2 Br 0.5000 0.0000 0.0000
Pd1 Pd 0.0000 0.0000 0.0000
```

=====

CoAs2PdBr: relaxed, PBE-GGA.

Geometry as CIF:
```
data_CoAs2PdBr
_chemical_formula_sum 'Co1 As2 Pd1 Br1'
_symmetry_space_group_name_H-M 'P 1'
_symmetry_Int_Tables_number 1
_cell_length_a 4.4515
_cell_length_b 4.4515
_cell_length_c 5.1305
_cell_angle_alpha 90.00
_cell_angle_beta 90.00
_cell_angle_gamma 90.00
loop_
_symmetry_equiv_pos_as_xyz
'x,y,z'
loop_
_atom_site_label
_atom_site_type_symbol
_atom_site_fract_x
_atom_site_fract_y
_atom_site_fract_z
As1 As 0.0000 0.5000 0.0000
As2 As 0.5000 0.0000 0.0000
Co1 Co 0.0000 0.0000 0.0000
Br1 Br 0.0000 0.0000 0.5000
Pd1 Pd 0.5000 0.5000 0.5000
```

=====

Number 1: energy above the most stable polymorph in this dataset 0 meV per atom, E_form (uncorrected) 178 meV/atom, magnetization 0.000 μB per atom. Number 2: energy above the most stable polymorph in this dataset 1126 meV per atom, E_form (uncorrected) 1304 meV/atom, magnetization 0.739 μB per atom. Number 3: energy above the most stable polymorph in this dataset 314 meV per atom, E_form (uncorrected) 784 meV/atom, magnetization 0.394 μB per atom. Number 4: energy above the most stable polymorph in this dataset 0 meV per atom, E_form (uncorrected) 453 meV/atom, magnetization 0.000 μB per atom.